1.
Ca3Rh | GGA-PBE | optimized geometry

Cell: 4.7713 4.7713 4.7723 Å, 90.00 90.00 90.00°
Closest atoms and distances in Å follow each position.
Space group P4mm (No. 99)
Symmetry-distinct sites (fractional):
Ca 0.0000 0.0000 0.0000 [1 per cell]  8 Ca 3.37-3.38, 4 Rh 3.37
Ca 0.0000 0.5000 0.5007 [2 per cell]  4 Rh 3.37-3.38, 8 Ca 3.37-3.38
Rh 0.5000 0.5000 0.9988 [1 per cell]  12 Ca 3.37-3.38

Computed properties:
Formation enthalpy at 0 K   -0.012 eV per atom

2.
Ca3Rh | GGA-PBE | optimized geometry

Cell: 5.3549 5.3549 7.4240 Å, 90.00 90.00 90.00°
Closest atoms and distances in Å follow each position.
Space group I4/mmm (No. 139)
Symmetry-distinct sites (fractional):
Ca 0.0000 0.0000 0.0000 [2 per cell]  8 Ca 3.26
Ca 0.0000 0.5000 0.2500 [4 per cell]  4 Ca 3.26, 4 Rh 3.26
Rh 0.0000 0.0000 0.5000 [2 per cell]  8 Ca 3.26

Computed properties:
Formation enthalpy at 0 K   -0.019 eV per atom

3.
Ca3Rh | GGA-PBE | optimized geometry

Cell: 3.7737 3.7737 10.3618 Å, 90.00 90.00 120.00°
Closest atoms and distances in Å follow each position.
Space group P-6m2 (No. 187)
Symmetry-distinct sites (fractional):
Ca 0.0000 0.0000 0.0000 [1 per cell]  12 Ca 3.77-3.99
Ca 0.3333 0.6667 0.3230 [2 per cell]  3 Rh 2.85
Rh 0.0000 0.0000 0.5000 [1 per cell]  6 Ca 2.85

Computed properties:
Formation enthalpy at 0 K   -0.071 eV per atom

4.
Ca5Rh | GGA-PBE | optimized geometry

Cell: 7.6167 15.9288 6.7306 Å, 90.00 90.00 90.00°
Closest atoms and distances in Å follow each position.
Space group Pnma (No. 62)
Symmetry-distinct sites (fractional):
Ca 0.0357 0.1443 0.1746 [8 per cell]  2 Rh 2.95-3.01
Ca 0.0939 0.7500 0.3490 [4 per cell]  2 Rh 2.85-2.89
Ca 0.1908 0.0637 0.6471 [8 per cell]  1 Rh 3.24
Rh 0.2411 0.2500 0.4630 [4 per cell]  6 Ca 2.85-3.01

Computed properties:
Distance to the lowest polymorph of the same formula   0 meV per atom
Formation enthalpy at 0 K   -0.231 eV per atom

5.
Ca4Rh5 | GGA-PBE | optimized geometry

Cell: 8.3522 8.3522 5.7959 Å, 90.00 90.00 120.00°
Closest atoms and distances in Å follow each position.
Space group P6_3/mcm (No. 193)
Symmetry-distinct sites (fractional):
Ca 0.0000 0.0000 0.0000 [2 per cell]  2 Ca 2.90, 6 Rh 2.96
Ca 0.0000 0.3741 0.2500 [6 per cell]  5 Rh 2.65-2.95
Rh 0.0000 0.3089 0.7500 [6 per cell]  7 Ca 2.65-2.96
Rh 0.3333 0.6667 0.0000 [4 per cell]  8 Rh 2.90-3.23, 6 Ca 3.00

Computed properties:
Formation enthalpy at 0 K   -0.027 eV per atom

6.
CaRh3 | GGA-PBE | optimized geometry

Cell: 6.4565 6.4565 6.4565 Å, 90.00 90.00 90.00°
Closest atoms and distances in Å follow each position.
Space group Fm-3m (No. 225)
Symmetry-distinct sites (fractional):
Ca 0.0000 0.0000 0.0000 [4 per cell]  8 Rh 2.80
Rh 0.0000 0.0000 0.5000 [4 per cell]  8 Rh 2.80
Rh 0.2500 0.2500 0.2500 [8 per cell]  4 Ca 2.80, 4 Rh 2.80

Computed properties:
Formation enthalpy at 0 K   0.088 eV per atom

7.
Ca3Rh | GGA-PBE | optimized geometry

Cell: 3.5772 5.4765 12.3802 Å, 90.00 90.00 90.00°
Closest atoms and distances in Å follow each position.
Space group Immm (No. 71)
Symmetry-distinct sites (fractional):
Ca 0.0000 0.0000 0.0000 [2 per cell]  4 Rh 3.27, 6 Ca 3.51-3.58
Ca 0.0000 0.5000 0.1768 [4 per cell]  2 Rh 2.83
Rh 0.0000 0.0000 0.5000 [2 per cell]  4 Ca 2.83

Computed properties:
Formation enthalpy at 0 K   -0.191 eV per atom

8.
Ca5Rh | GGA-PBE | optimized geometry

Cell: 12.9052 3.7156 9.2867 Å, 90.00 113.30 90.00°
Closest atoms and distances in Å follow each position.
Space group C2/m (No. 12)
Symmetry-distinct sites (fractional):
Ca 0.0000 0.0000 0.0000 [2 per cell]  12 Ca 3.72-4.01
Ca 0.1190 0.5000 0.3818 [4 per cell]  2 Rh 2.89
Ca 0.1659 0.5000 0.7726 [4 per cell]  2 Rh 3.19, 2 Ca 3.38-3.44
Rh 0.0000 0.0000 0.5000 [2 per cell]  8 Ca 2.89-3.19

Computed properties:
Distance to the lowest polymorph of the same formula   93 meV per atom
Formation enthalpy at 0 K   -0.138 eV per atom

9.
Ca3Rh | GGA-PBE | optimized geometry

Cell: 3.5055 3.8009 9.7300 Å, 90.00 90.00 90.00°
Closest atoms and distances in Å follow each position.
Space group Pmm2 (No. 25)
Symmetry-distinct sites (fractional):
Ca 0.0000 0.0000 0.0000 [1 per cell]  6 Ca 3.51-3.87
Ca 0.0000 0.5000 0.3468 [1 per cell]  4 Rh 2.90
Ca 0.5000 0.5000 0.6829 [1 per cell]  2 Rh 2.73
Rh 0.5000 0.0000 0.4808 [1 per cell]  6 Ca 2.73-2.90

Computed properties:
Formation enthalpy at 0 K   -0.048 eV per atom

10.
Ca3Rh | GGA-PBE | optimized geometry

Cell: 7.2794 7.2794 4.8440 Å, 90.00 90.00 120.00°
Closest atoms and distances in Å follow each position.
Space group P6_3/mmc (No. 194)
Symmetry-distinct sites (fractional):
Ca 0.1843 0.3687 0.2500 [6 per cell]  2 Rh 3.07, 6 Ca 3.25-3.36
Rh 0.3333 0.6667 0.7500 [2 per cell]  6 Ca 3.07

Computed properties:
Formation enthalpy at 0 K   -0.103 eV per atom

11.
CaRh3 | GGA-PBE | optimized geometry

Cell: 2.8560 4.5962 4.9591 Å, 90.00 90.00 90.00°
Closest atoms and distances in Å follow each position.
Space group Pmm2 (No. 25)
Symmetry-distinct sites (fractional):
Ca 0.0000 0.0000 0.0000 [1 per cell]  10 Rh 2.84-2.93, 2 Ca 2.86
Rh 0.0000 0.5000 0.3670 [1 per cell]  8 Rh 2.70-2.86, 2 Ca 2.93
Rh 0.5000 0.0000 0.5005 [1 per cell]  8 Rh 2.79-2.86, 4 Ca 2.86
Rh 0.5000 0.5000 0.8292 [1 per cell]  6 Rh 2.70-2.86, 4 Ca 2.84

Computed properties:
Formation enthalpy at 0 K   -0.031 eV per atom

12.
CaRh3 | GGA-PBE | optimized geometry

Cell: 2.8561 4.6543 5.1212 Å, 90.00 99.73 90.00°
Closest atoms and distances in Å follow each position.
Space group P2/m (No. 10)
Symmetry-distinct sites (fractional):
Ca 0.0000 0.0000 0.0000 [1 per cell]  6 Rh 2.71-2.96, 2 Ca 2.86
Rh 0.3276 0.5000 0.7212 [2 per cell]  7 Rh 2.62-2.86
Rh 0.5000 0.0000 0.5000 [1 per cell]  6 Rh 2.67-2.86, 2 Ca 2.71

Computed properties:
Formation enthalpy at 0 K   0.024 eV per atom

13.
Ca4Rh | GGA-PBE | optimized geometry

Cell: 5.5982 5.5982 5.5982 Å, 90.00 90.00 90.00°
Closest atoms and distances in Å follow each position.
Space group Pm-3m (No. 221)
Symmetry-distinct sites (fractional):
Ca 0.0000 0.0000 0.0000 [1 per cell]  12 Ca 3.96
Ca 0.0000 0.5000 0.5000 [3 per cell]  2 Rh 2.80
Rh 0.5000 0.5000 0.5000 [1 per cell]  6 Ca 2.80

Computed properties:
Distance to the lowest polymorph of the same formula   28 meV per atom
Formation enthalpy at 0 K   -0.202 eV per atom

14.
CaRh3 | GGA-PBE | optimized geometry

Cell: 2.8910 4.6561 9.9366 Å, 90.00 90.00 90.00°
Closest atoms and distances in Å follow each position.
Space group Immm (No. 71)
Symmetry-distinct sites (fractional):
Ca 0.0000 0.0000 0.0000 [2 per cell]  4 Rh 2.74, 2 Ca 2.89
Rh 0.0000 0.0000 0.5000 [2 per cell]  6 Rh 2.67-2.89, 4 Ca 2.74
Rh 0.0000 0.5000 0.2256 [4 per cell]  8 Rh 2.67-2.89

Computed properties:
Formation enthalpy at 0 K   -0.012 eV per atom

15.
Ca3Rh | GGA-PBE | optimized geometry

Cell: 3.8423 3.8423 30.7513 Å, 90.00 90.00 120.00°
Closest atoms and distances in Å follow each position.
Space group R-3m (No. 166, hexagonal axes)
Symmetry-distinct sites (fractional):
Ca 0.0000 0.0000 0.0000 [3 per cell]  12 Ca 3.84-4.06
Ca 0.0000 0.0000 0.2229 [6 per cell]  3 Rh 2.81
Rh 0.0000 0.0000 0.5000 [3 per cell]  6 Ca 2.81

Computed properties:
Formation enthalpy at 0 K   -0.086 eV per atom

16.
Ca3Rh | GGA-PBE | optimized geometry

Cell: 3.9233 9.8787 6.4931 Å, 90.00 90.00 90.00°
Closest atoms and distances in Å follow each position.
Space group Imm2 (No. 44)
Symmetry-distinct sites (fractional):
Ca 0.0000 0.0000 0.0000 [2 per cell]  2 Rh 2.78
Ca 0.0000 0.1813 0.5115 [4 per cell]  2 Rh 2.91
Rh 0.0000 0.5000 0.1956 [2 per cell]  6 Ca 2.78-2.91

Computed properties:
Formation enthalpy at 0 K   -0.212 eV per atom

17.
Ca5Rh | GGA-PBE | optimized geometry

Cell: 6.3499 6.3499 6.3438 Å, 90.00 90.00 120.00°
Closest atoms and distances in Å follow each position.
Space group P6/mmm (No. 191)
Symmetry-distinct sites (fractional):
Ca 0.0000 0.5000 0.0000 [3 per cell]  4 Ca 3.17
Ca 0.3333 0.6667 0.5000 [2 per cell]  9 Ca 3.66-3.67, 3 Rh 3.67
Rh 0.0000 0.0000 0.5000 [1 per cell]  6 Ca 3.67

Computed properties:
Distance to the lowest polymorph of the same formula   934 meV per atom
Formation enthalpy at 0 K   0.703 eV per atom

18.
CaRh3 | GGA-PBE | optimized geometry

Cell: 2.9036 2.9036 8.9962 Å, 90.00 90.00 120.00°
Closest atoms and distances in Å follow each position.
Space group P-6m2 (No. 187)
Symmetry-distinct sites (fractional):
Ca 0.0000 0.0000 0.0000 [1 per cell]  6 Ca 2.90, 6 Rh 2.92
Rh 0.0000 0.0000 0.5000 [1 per cell]  12 Rh 2.69-2.90
Rh 0.6667 0.3333 0.2661 [2 per cell]  9 Rh 2.69-2.90, 3 Ca 2.92

Computed properties:
Formation enthalpy at 0 K   0.220 eV per atom

19.
Ca3Rh | GGA-PBE | optimized geometry

Cell: 10.3694 10.3694 3.5463 Å, 90.00 90.00 120.00°
Closest atoms and distances in Å follow each position.
Space group R-3m (No. 166, hexagonal axes)
Symmetry-distinct sites (fractional):
Ca 0.0000 0.5000 0.0000 [9 per cell]  6 Ca 3.22-3.55, 2 Rh 3.22
Rh 0.0000 0.0000 0.0000 [3 per cell]  6 Ca 3.22, 2 Rh 3.55

Computed properties:
Formation enthalpy at 0 K   0.170 eV per atom

20.
CaRuRh2 | GGA-PBE | optimized geometry

Cell: 4.7608 4.7608 2.8748 Å, 90.00 90.00 90.00°
Closest atoms and distances in Å follow each position.
Space group P4/mmm (No. 123)
Symmetry-distinct sites (fractional):
Ca 0.0000 0.0000 0.0000 [1 per cell]  8 Rh 2.78, 2 Ca 2.87
Ru 0.5000 0.5000 0.0000 [1 per cell]  8 Rh 2.78, 2 Ru 2.87
Rh 0.0000 0.5000 0.5000 [2 per cell]  4 Ca 2.78, 4 Ru 2.78, 2 Rh 2.87

Computed properties:
Distance to the lowest polymorph of the same formula   88 meV per atom
Formation enthalpy at 0 K   0.124 eV per atom

21.
Ca2RuRh | GGA-PBE | optimized geometry

Cell: 11.0202 3.0277 5.2533 Å, 90.00 110.74 90.00°
Closest atoms and distances in Å follow each position.
Space group Cm (No. 8)
Symmetry-distinct sites (fractional):
Ca 0.0000 0.0000 0.0000 [2 per cell]  3 Rh 3.00-3.07, 3 Ca 3.03-3.20, 4 Ru 3.04-3.16
Ca 0.2015 0.0000 0.6140 [2 per cell]  3 Ru 2.97-3.12, 4 Rh 3.00-3.17, 3 Ca 3.03-3.20
Ru 0.4383 0.0000 0.4672 [2 per cell]  2 Rh 2.61
Rh 0.2575 0.5000 0.1362 [2 per cell]  2 Ru 2.61

Computed properties:
Formation enthalpy at 0 K   0.025 eV per atom

22.
CaRuRh2 | GGA-PBE | optimized geometry

Cell: 4.1284 4.1284 7.6764 Å, 90.00 90.00 90.00°
Closest atoms and distances in Å follow each position.
Space group I4/mmm (No. 139)
Symmetry-distinct sites (fractional):
Ca 0.0000 0.0000 0.0000 [2 per cell]  8 Rh 2.82, 4 Ru 2.92
Ru 0.0000 0.0000 0.5000 [2 per cell]  8 Rh 2.82, 4 Ca 2.92
Rh 0.0000 0.5000 0.2500 [4 per cell]  4 Ca 2.82, 4 Ru 2.82, 4 Rh 2.92

Computed properties:
Distance to the lowest polymorph of the same formula   133 meV per atom
Formation enthalpy at 0 K   0.170 eV per atom

23.
CaRuRh2 | GGA-PBE | optimized geometry

Cell: 5.7847 7.8291 2.8207 Å, 90.00 90.00 90.00°
Closest atoms and distances in Å follow each position.
Space group Cmmm (No. 65)
Symmetry-distinct sites (fractional):
Ca 0.0000 0.0000 0.0000 [2 per cell]  8 Rh 2.81, 2 Ca 2.82, 2 Ru 2.89
Ru 0.0000 0.5000 0.0000 [2 per cell]  8 Rh 2.81, 2 Ru 2.82, 2 Ca 2.89
Rh 0.2500 0.2500 0.5000 [4 per cell]  4 Ca 2.81, 4 Ru 2.81, 4 Rh 2.82-2.89

Computed properties:
Distance to the lowest polymorph of the same formula   23 meV per atom
Formation enthalpy at 0 K   0.060 eV per atom

24.
CaRu3Rh | GGA-PBE | optimized geometry

Cell: 4.7325 4.7325 4.7325 Å, 90.00 90.00 90.00°
Closest atoms and distances in Å follow each position.
Space group Pm-3m (No. 221)
Symmetry-distinct sites (fractional):
Ca 0.0000 0.0000 0.0000 [1 per cell]  12 Ru 3.35
Ru 0.0000 0.5000 0.5000 [3 per cell]  2 Rh 2.37
Rh 0.5000 0.5000 0.5000 [1 per cell]  6 Ru 2.37

Computed properties:
Distance to the lowest polymorph of the same formula   0 meV per atom
Formation enthalpy at 0 K   1.221 eV per atom

25.
CaRu2Rh | GGA-PBE | optimized geometry

Cell: 2.9211 4.6202 4.8015 Å, 90.00 90.00 90.00°
Closest atoms and distances in Å follow each position.
Space group Pmmm (No. 47)
Symmetry-distinct sites (fractional):
Ca 0.0000 0.0000 0.0000 [1 per cell]  4 Rh 2.73, 4 Ru 2.81, 2 Ca 2.92
Ru 0.0000 0.5000 0.5000 [1 per cell]  6 Ru 2.73-2.92, 4 Rh 2.81
Ru 0.5000 0.0000 0.5000 [1 per cell]  6 Ru 2.73-2.92, 4 Ca 2.81
Rh 0.5000 0.5000 0.0000 [1 per cell]  4 Ca 2.73, 4 Ru 2.81, 2 Rh 2.92

Computed properties:
Distance to the lowest polymorph of the same formula   165 meV per atom
Formation enthalpy at 0 K   0.344 eV per atom

26.
CaRu2Rh | GGA-PBE | optimized geometry

Cell: 2.8330 4.5530 10.3228 Å, 90.00 90.00 90.00°
Closest atoms and distances in Å follow each position.
Space group Immm (No. 71)
Symmetry-distinct sites (fractional):
Ca 0.0000 0.0000 0.0000 [2 per cell]  4 Rh 2.68, 2 Ca 2.83
Ru 0.0000 0.5000 0.2189 [4 per cell]  2 Rh 2.67, 6 Ru 2.76-2.83
Rh 0.0000 0.0000 0.5000 [2 per cell]  4 Ru 2.67, 4 Ca 2.68, 2 Rh 2.83

Computed properties:
Distance to the lowest polymorph of the same formula   34 meV per atom
Formation enthalpy at 0 K   0.213 eV per atom

27.
CaRu2Rh | GGA-PBE | optimized geometry

Cell: 7.5891 7.5891 5.1929 Å, 90.00 90.00 90.00°
Closest atoms and distances in Å follow each position.
Space group I-42d (No. 122)
Symmetry-distinct sites (fractional):
Ca 0.0000 0.0000 0.0000 [4 per cell]  2 Rh 2.60
Ru 0.1952 0.2500 0.6250 [8 per cell]  2 Rh 2.49, 2 Ru 2.73
Rh 0.0000 0.0000 0.5000 [4 per cell]  4 Ru 2.49, 2 Ca 2.60

Computed properties:
Distance to the lowest polymorph of the same formula   420 meV per atom
Formation enthalpy at 0 K   0.600 eV per atom